Entry from Alexandria via LeMat-Bulk: a relaxed structure of UCr3Br2O6 (GGA+U).

DFT total energy = -89.526 eV per formula unit
SG = C2/m, No. 12

```
12
Lattice="5.565 -3.080 0.000 5.565 3.080 0.000 -2.400 0.000 5.294" Properties=species:S:1:pos:R:3 pbc="T T T"
U 0.000 0.000 0.000
Cr 2.783 1.540 0.000
Cr 2.783 -1.540 0.000
Cr 4.366 0.000 2.647
Br 1.350 0.000 3.577
Br 7.381 0.000 1.716
O 4.527 1.558 1.063
O 1.968 0.000 0.890
O 4.204 1.558 4.230
O 4.527 -1.558 1.063
O 6.763 0.000 4.404
O 4.204 -1.558 4.230
```